Arrangement a

Material: HoPaFe2
Method: DFT, PBE-GGA
State: optimized geometry

* DOS at the Fermi energy: 3.74 states/eV/cell
* total moment: 0.9 μB per cell

```
data_HoPaFe2
_chemical_formula_sum 'Ho1 Pa1 Fe2'
_space_group_name_H-M_alt 'P 4/m m m'
_space_group_IT_number 123
_space_group_name_Hall '-P 4 2'
_cell_length_a 3.3014
_cell_length_b 3.3014
_cell_length_c 6.7422
_cell_angle_alpha 90.00
_cell_angle_beta 90.00
_cell_angle_gamma 90.00
loop_
_atom_site_label
_atom_site_type_symbol
_atom_site_fract_x
_atom_site_fract_y
_atom_site_fract_z
_atom_site_occupancy
Ho1 Ho 0.0000 0.0000 0.0000 1
Pa1 Pa 0.0000 0.0000 0.5000 1
Fe1 Fe 0.5000 0.5000 0.2947 1
```

***

Arrangement b

Material: HoPaFe2
Method: DFT, PBE-GGA
State: optimized geometry

* DOS at the Fermi energy: 12.41 states/eV/cell
* total moment: 0.0 μB per cell

```
data_HoPaFe2
_chemical_formula_sum 'Ho4 Pa4 Fe8'
_space_group_name_H-M_alt 'P n m a'
_space_group_IT_number 62
_cell_length_a 7.8725
_cell_length_b 3.8868
_cell_length_c 9.9838
_cell_angle_alpha 90.00
_cell_angle_beta 90.00
_cell_angle_gamma 90.00
loop_
_space_group_symop_operation_xyz
'x,y,z'
'-x,-y,-z'
'-x+1/2,-y,z+1/2'
'x+1/2,y,-z+1/2'
'x+1/2,-y+1/2,-z+1/2'
'-x+1/2,y+1/2,z+1/2'
'-x,y+1/2,-z'
'x,-y+1/2,z'
loop_
_atom_site_label
_atom_site_type_symbol
_atom_site_fract_x
_atom_site_fract_y
_atom_site_fract_z
_atom_site_occupancy
Ho1 Ho 0.0974 0.2500 0.1231 1
Pa1 Pa 0.0606 0.2500 0.6270 1
Fe1 Fe 0.1909 0.2500 0.8172 1
Fe2 Fe 0.1952 0.2500 0.4325 1
```

***

The structure with the most favorable energy is arrangement b; the runner-up is 0.064 eV/atom above it.